Entry 1:
ZrCuS3 PBE optimized geometry; ΔE to the lowest computed polymorph = 0.0 meV/atom; ΔE_f (raw) = -909 meV per atom
1.0
3.619 -0.217 0.000
-0.525 6.150 0.000
0.000 0.000 8.056
Zr Cu S
2 2 6
Cartesian
0.665 3.071 2.014 Zr
2.429 2.862 6.042 Zr
0.000 0.000 0.000 Cu
0.000 0.000 4.028 Cu
2.396 1.744 3.560 S
0.698 4.190 4.497 S
0.698 4.190 7.588 S
2.396 1.744 0.468 S
2.639 4.903 2.014 S
0.456 1.031 6.042 S

Entry 2:
Nd2AlIr PBE optimized geometry; DFT formation energy = -0.57 eV/atom
1.0
-1.048 -2.620 2.693
4.945 -3.495 -1.477
1.888 5.978 6.550
Nd Al Ir
4 2 2
Cartesian
1.103 -0.054 4.614 Nd
4.682 -0.084 3.153 Nd
3.827 -2.868 0.111 Nd
1.958 2.730 7.656 Nd
2.010 -0.672 1.541 Al
3.775 0.534 6.226 Al
3.077 -2.574 2.931 Ir
2.708 2.436 4.836 Ir

Entry 3:
ReAgBr5 PBE optimized geometry; ΔE_f (raw) = -225 meV per atom
1.0
7.374 0.247 1.449
3.426 6.534 1.449
1.128 0.708 9.344
Re Ag Br
2 2 10
Cartesian
11.664 7.393 12.138 Re
11.163 6.939 7.466 Re
7.307 5.144 9.134 Ag
7.244 3.992 4.462 Ag
3.238 1.108 8.574 Br
5.918 5.409 6.584 Br
1.841 2.080 3.902 Br
7.385 1.545 8.345 Br
4.517 4.765 10.044 Br
6.880 2.626 1.912 Br
4.037 5.626 3.673 Br
9.828 4.926 8.165 Br
5.691 1.644 5.372 Br
8.143 6.358 3.493 Br

Entry 4:
LiPrAu3 PBE optimized geometry; DFT formation energy = -0.45 eV/atom; ΔE to the lowest computed polymorph = 65.7 meV/atom
1.0
5.917 -0.460 -3.043
-3.606 5.583 -0.561
-0.297 0.460 6.647
Li Pr Au
2 2 6
Cartesian
1.156 2.561 -1.802 Li
2.810 0.000 1.802 Li
-2.927 4.532 4.565 Pr
-0.976 1.511 1.522 Pr
3.138 3.842 -1.802 Au
0.180 4.072 -0.280 Au
0.031 4.302 3.043 Au
1.834 1.511 3.324 Au
1.983 1.281 0.000 Au
-1.124 1.741 4.845 Au

Entry 5:
TiAlVTcRh PBE optimized geometry; DFT formation energy = -0.45 eV/atom; ΔE to the lowest computed polymorph = 142.5 meV/atom
1.0
2.789 0.000 0.003
0.000 4.184 0.000
-2.554 0.000 12.481
Al Ti Rh Tc V
2 2 2 2 2
Cartesian
0.886 0.000 2.248 Al
-0.391 2.092 8.488 Al
-0.366 0.000 12.204 Ti
0.911 2.092 5.963 Ti
-0.914 0.000 7.103 Rh
0.363 2.092 0.863 Rh
0.664 0.000 9.760 Tc
1.941 2.092 3.519 Tc
-0.085 0.000 4.653 V
-1.362 2.092 10.893 V

Entry 6:
CrPtSe2 PBE optimized geometry; ΔE to the lowest computed polymorph = 75.0 meV/atom; ΔE_f (raw) = -217 meV per atom
1.0
-4.027 2.411 -0.139
-1.223 -1.839 3.529
1.351 2.436 3.095
Cr Pt Se
1 1 2
Cartesian
0.065 0.305 3.389 Cr
-1.920 1.645 4.808 Pt
0.115 0.539 5.983 Se
-1.969 1.414 2.239 Se

Entry 7:
CdP2NCl PBE optimized geometry; ΔE to the lowest computed polymorph = 0.0 meV/atom; ΔE_f (raw) = 682 meV per atom
1.0
3.828 0.000 0.000
0.000 3.828 0.000
0.000 0.000 6.568
P N Cl Cd
2 1 1 1
Cartesian
0.000 1.914 0.000 P
1.914 0.000 0.000 P
0.000 0.000 0.000 N
0.000 0.000 3.284 Cl
1.914 1.914 3.284 Cd

Entry 8:
CsCuBiI6 PBE optimized geometry; ΔE_f (raw) = -547 meV per atom
1.0
8.623 0.015 0.775
4.351 6.204 0.259
0.848 -0.179 8.275
Cs Cu Bi I
1 1 1 6
Cartesian
4.515 5.437 0.456 Cs
4.245 2.047 3.976 Cu
9.009 4.014 5.047 Bi
2.054 2.158 2.320 I
3.943 0.459 6.178 I
7.966 2.371 7.312 I
11.925 4.198 6.140 I
6.448 3.483 3.307 I
5.179 -0.004 2.500 I

Entry 9:
Ti2SnGe PBE optimized geometry; DFT formation energy = -0.31 eV/atom
1.0
-1.381 -3.198 0.291
1.840 -2.796 -1.005
2.944 -2.589 6.513
Ti Sn Ge
2 1 1
Cartesian
2.363 -2.466 5.108 Ti
0.733 -2.121 1.166 Ti
1.709 -4.293 2.918 Sn
3.242 -6.583 6.018 Ge

Entry 10:
Ce2ScCd5 PBE optimized geometry; DFT formation energy = -0.19 eV/atom
1.0
-0.746 -1.585 -4.302
-1.141 -4.157 1.730
-7.448 5.394 1.811
Ce Sc Cd
2 1 5
Cartesian
-5.060 -1.634 -1.028 Ce
-4.275 1.285 0.268 Ce
0.000 0.000 0.000 Sc
-0.944 -2.871 -1.286 Cd
-6.861 1.158 -1.745 Cd
-7.059 -0.128 1.271 Cd
-2.474 -1.506 0.984 Cd
-2.277 -0.221 -2.032 Cd

Entry 11:
Ta2VPt9 PBE optimized geometry; DFT formation energy = -0.57 eV/atom
1.0
-3.530 -1.788 0.484
-0.331 -0.414 -3.951
5.444 -10.570 0.651
Ta V Pt
2 1 9
Cartesian
1.779 -3.454 0.213 Ta
3.665 -7.116 0.438 Ta
0.000 0.000 0.000 V
-1.931 -1.101 -1.734 Pt
-0.109 -4.638 -1.516 Pt
1.692 -8.135 -1.300 Pt
-0.847 -2.675 0.352 Pt
0.957 -6.179 0.567 Pt
2.762 -9.683 0.783 Pt
0.752 -1.988 -1.866 Pt
2.556 -5.492 -1.650 Pt
4.361 -8.996 -1.434 Pt

Entry 12:
Ho5Zn2Au2 PBE optimized geometry; DFT formation energy = -0.51 eV/atom
1.0
7.419 0.000 0.000
0.000 7.339 0.000
0.000 -3.669 8.146
Ho Zn Au
10 4 4
Cartesian
0.000 0.000 0.000 Ho
3.709 3.669 0.000 Ho
6.136 4.962 2.313 Ho
1.283 2.376 2.313 Ho
2.427 6.045 2.313 Ho
4.992 1.293 2.313 Ho
1.283 -1.293 5.834 Ho
6.136 1.293 5.834 Ho
4.992 -2.376 5.834 Ho
2.427 2.376 5.834 Ho
4.609 6.471 0.000 Zn
2.810 0.868 0.000 Zn
0.899 4.537 0.000 Zn
6.519 2.801 0.000 Zn
0.000 0.000 3.431 Au
3.709 3.669 3.431 Au
0.000 3.669 4.716 Au
3.709 0.000 4.716 Au

no.,electronic total energy (eV for the cell shown),DOS at the Fermi energy (states/eV per atom),total magnetization (μB/f.u.)
1,-59.147,0.6029,0.0
2,-48.873,0.8508,0.0
3,-50.474,0.0159,3.0
4,-37.598,0.3790,0.0
5,-81.490,0.5774,0.0
6,-23.501,0.5805,3.3
7,-18.499,0.6805,0.4
8,-23.057,0.3154,0.9
9,-25.638,0.8020,0.0
10,-24.288,1.7289,1.9
11,-93.982,0.8836,2.9
12,-73.213,1.0601,0.0